1.
First-principles (PBE) data for CsAl2H8 after structural relaxation, as listed in the Alexandria database.

Unit cell a=4.2122 b=4.2122 c=6.7816 alpha=90.00 beta=90.00 gamma=90.00
Space group P4/mmm (No. 123)
One atom of each set of equivalent atoms:
Cs (0.0000, 0.0000, 0.0000) (multiplicity 1)
Al (0.0000, 0.5000, 0.5000) (multiplicity 2)
H (0.2521, 0.2521, 0.3440) (multiplicity 8)

Computed properties:
energy relative to the lowest polymorph listed for this composition	60	meV per atom
M_tot	0.00	μB per formula unit
E_tot	-3.03	eV per atom

---

2.
First-principles (PBE) data for CsAlH4 after structural relaxation, as listed in the Alexandria database.

Unit cell a=9.8807 b=5.9200 c=7.7914 alpha=90.00 beta=90.00 gamma=90.00
Space group Pnma (No. 62)
One atom of each set of equivalent atoms:
Cs (0.1813, 0.2500, 0.1607) (multiplicity 4)
Al (0.0640, 0.2500, 0.6850) (multiplicity 4)
H (0.0783, 0.0271, 0.8082) (multiplicity 8)
H (0.0848, 0.7500, 0.4062) (multiplicity 4)
H (0.1898, 0.2500, 0.5492) (multiplicity 4)

Computed properties:
M_tot	0.00	μB per formula unit
E_tot	-3.24	eV per atom

---

3.
First-principles (PBE) data for CsAlH2 after structural relaxation, as listed in the Alexandria database.

Unit cell a=6.2442 b=6.2442 c=7.5255 alpha=90.00 beta=90.00 gamma=120.00
Space group P3_121 (No. 152)
One atom of each set of equivalent atoms:
Cs (0.0000, 0.6710, 0.1667) (multiplicity 3)
Al (0.0000, 0.6589, 0.6667) (multiplicity 3)
H (0.1455, 0.5300, 0.8021) (multiplicity 6)

Computed properties:
energy relative to the lowest polymorph listed for this composition	0	meV per atom
M_tot	0.00	μB per formula unit
E_tot	-2.78	eV per atom

---

4.
First-principles (PBE) data for Cs2AlH5 after structural relaxation, as listed in the Alexandria database.

Unit cell a=6.4007 b=6.4007 c=8.1855 alpha=90.00 beta=90.00 gamma=90.00
Space group I4mm (No. 107)
One atom of each set of equivalent atoms:
Cs (0.0000, 0.5000, 0.0000) (multiplicity 4)
Al (0.0000, 0.0000, 0.2814) (multiplicity 2)
H (0.0000, 0.0000, 0.4838) (multiplicity 2)
H (0.1877, 0.1877, 0.2370) (multiplicity 8)

Computed properties:
M_tot	0.00	μB per formula unit
E_tot	-3.01	eV per atom